{
  "formula": "Hf2CdHgMo",
  "functional": "PBE",
  "state": "relaxed",
  "lattice_angstrom": [[-0.1421, 4.4939, 2.1100], [-2.7388, 1.8828, -4.1944], [-4.2645, -1.1912, 2.2499]],
  "species": ["Mo", "Cd", "Hf", "Hg", "Hf"],
  "fractional_positions": [[0.0000, 0.0000, 0.0000], [0.5000, 0.5000, 0.5000], [0.0000, 0.0000, 0.5000], [0.0000, 0.5000, 0.0000], [0.5000, 0.0000, 0.0000]],
  "sg": "P4/mmm, No. 123",
  "energy_ev_per_atom": -5.6223,
  "formation_enthalpy_0k_kj_per_mol_atoms": 74.16
}